[1]
Entry from Alexandria via LeMat-Bulk: crystalline Zn2CrRu at its relaxed geometry (PBEsol).

Unit cell a=2.6879 b=4.3959 c=4.6109 alpha=98.12 beta=90.00 gamma=107.80
Last column: nearest neighbours and their distance in Å.
Fractional coordinates of all 4 atoms:
1 Zn 0.0008 0.0016 0.9814  5 Zn 2.43-2.69, 4 Cr 2.64-2.70, 3 Ru 2.67-2.68
2 Zn 0.2492 0.4984 0.7669  5 Zn 2.43-2.69, 4 Ru 2.62-2.72, 3 Cr 2.66-2.68
3 Cr 0.4997 0.9997 0.4729  3 Ru 2.40-2.53, 5 Zn 2.64-2.68
4 Ru 0.7503 0.5003 0.2789  3 Cr 2.40-2.53, 5 Zn 2.62-2.68

Calculated values
The volume comes out at 51.3 Å³/f.u. The energy of formation from the pure elements comes out at 0.126 eV per atom. The space group is Cm. The calculation puts the total magnetization at 0.00 Bohr magnetons per cell.

***

[2]
Entry from Alexandria via LeMat-Bulk: crystalline ZrCr2Ru at its relaxed geometry (PBEsol).

Unit cell a=2.9925 b=2.9925 c=6.2684 alpha=90.00 beta=90.00 gamma=90.00
Last column: nearest neighbours and their distance in Å.
Fractional coordinates of all 4 atoms:
1 Cr 0.5000 0.5000 0.2358  4 Cr 2.47, 4 Ru 2.59
2 Cr 0.0000 0.0000 0.0334  4 Cr 2.47, 4 Zr 2.74
3 Zr 0.5000 0.5000 0.7557  5 Cr 2.74-3.01, 4 Ru 2.75, 4 Zr 2.99
4 Ru 0.0000 0.0000 0.4752  5 Cr 2.59-2.77, 4 Zr 2.75

Calculated values
The volume comes out at 56.1 Å³/f.u. The energy of formation from the pure elements comes out at 0.052 eV per atom. The space group is P4mm. The calculation puts the total magnetization at 0.02 Bohr magnetons per cell.

***

[3]
Entry from Alexandria via LeMat-Bulk: crystalline ZrCrRu2 at its relaxed geometry (PBEsol).

Unit cell a=3.0336 b=4.4187 c=5.0216 alpha=111.07 beta=107.58 gamma=90.00
Last column: nearest neighbours and their distance in Å.
Fractional coordinates of all 4 atoms:
1 Zr 0.5037 0.4746 0.0075  7 Ru 2.63-2.78, 2 Cr 2.80
2 Ru 0.7452 0.2714 0.4904  4 Cr 2.61-2.76, 3 Zr 2.75-2.78, 2 Ru 2.78
3 Ru 0.9888 0.9479 0.9776  2 Cr 2.52, 4 Zr 2.63-2.74, 2 Ru 2.78
4 Cr 0.2623 0.8061 0.5245  6 Ru 2.52-2.76, 2 Zr 2.80

Calculated values
The volume comes out at 59.4 Å³/f.u. The energy of formation from the pure elements comes out at 0.048 eV per atom. The space group is Cm. The calculation puts the total magnetization at 1.96 Bohr magnetons per cell.

***

[4]
Entry from Alexandria via LeMat-Bulk: crystalline ZrCr2Ru at its relaxed geometry (PBEsol).

Unit cell a=3.0484 b=4.2620 c=5.0765 alpha=114.82 beta=107.47 gamma=90.00
Last column: nearest neighbours and their distance in Å.
Fractional coordinates of all 4 atoms:
1 Zr 0.0000 0.5000 0.0000  4 Ru 2.62, 4 Cr 2.68
2 Cr 0.7539 0.7539 0.5078  4 Cr 2.62, 2 Ru 2.63, 2 Zr 2.68
3 Cr 0.2461 0.2461 0.4922  4 Cr 2.62, 2 Ru 2.63, 2 Zr 2.68
4 Ru 0.5000 0.0000 0.0000  4 Zr 2.62, 4 Cr 2.63

Calculated values
The volume comes out at 56.5 Å³/f.u. The energy of formation from the pure elements comes out at 0.124 eV per atom. The space group is Immm. The calculation puts the total magnetization at 0.00 Bohr magnetons per cell.

***

[5]
Entry from Alexandria via LeMat-Bulk: crystalline ZrCr2Ru at its relaxed geometry (PBEsol).

Unit cell a=2.8028 b=3.9039 c=5.3361 alpha=90.00 beta=102.16 gamma=90.00
Last column: nearest neighbours and their distance in Å.
Fractional coordinates of all 4 atoms:
1 Cr 0.7771 0.5000 0.2346  2 Cr 2.30, 2 Ru 2.50
2 Cr 0.9591 0.0000 0.0466  2 Cr 2.30, 1 Ru 2.45
3 Ru 0.5187 0.0000 0.4677  3 Cr 2.45-2.50, 2 Zr 2.68
4 Zr 0.2451 0.5000 0.7510  4 Ru 2.68-2.99, 6 Cr 2.69-3.00, 2 Zr 2.80

Calculated values
The volume comes out at 57.1 Å³/f.u. The energy of formation from the pure elements comes out at 0.152 eV per atom. The space group is Pm. The calculation puts the total magnetization at 0.00 Bohr magnetons per cell.

***

[6]
Entry from Alexandria via LeMat-Bulk: crystalline CrSbS3 at its relaxed geometry (PBEsol).

Unit cell a=4.9215 b=4.9215 c=4.9215 alpha=90.00 beta=90.00 gamma=90.00
Last column: nearest neighbours and their distance in Å.
Fractional coordinates of all 5 atoms:
1 S 0.0000 0.0000 0.5000  2 Sb 2.46
2 S 0.0000 0.5000 0.0000  2 Sb 2.46
3 S 0.5000 0.0000 0.0000  2 Sb 2.46
4 Sb 0.0000 0.0000 0.0000  6 S 2.46
5 Cr 0.5000 0.5000 0.5000  12 S 3.48

Calculated values
The volume comes out at 119.2 Å³/f.u. Its uncorrected energy is -4.907 eV/atom. The space group is Pm-3m. The calculation puts the total magnetization at 4.00 Bohr magnetons per cell.